1.
# TaSe4Br | Alexandria via LeMat-Bulk | PBE-GGA | relaxed
# Uncorrected formation energy: -505 meV per atom
# N(E_F): 0.65 states/eV/cell
data_TaSe4Br
_chemical_formula_sum 'Ta4 Se16 Br4'
_cell_length_a 8.5251
_cell_length_b 13.3569
_cell_length_c 6.4277
_cell_angle_alpha 90.00
_cell_angle_beta 112.07
_cell_angle_gamma 90.00
_space_group_name_H-M_alt 'C 1 2/c 1'
_space_group_IT_number 15
loop_
_space_group_symop_operation_xyz
'x,y,z'
'-x,-y,-z'
'-x,y,-z+1/2'
'x,-y,z+1/2'
'x+1/2,y+1/2,z'
'-x+1/2,-y+1/2,-z'
'-x+1/2,y+1/2,-z+1/2'
'x+1/2,-y+1/2,z+1/2'
loop_
_atom_site_label
_atom_site_type_symbol
_atom_site_fract_x
_atom_site_fract_y
_atom_site_fract_z
Ta1 Ta 0.0000 0.9998 0.2500
Se1 Se 0.0473 0.1564 0.0241
Se2 Se 0.2379 0.0746 0.6182
Br1 Br 0.0000 0.4309 0.7500

---

2.
# LiAcYIr | Alexandria via LeMat-Bulk | PBE-GGA | relaxed
# Formation energy: -0.362 eV per atom
# N(E_F): 12.96 states/eV/cell
data_LiAcYIr
_chemical_formula_sum 'Li4 Ac4 Y4 Ir4'
_cell_length_a 7.2983
_cell_length_b 7.2983
_cell_length_c 7.2983
_cell_angle_alpha 90.00
_cell_angle_beta 90.00
_cell_angle_gamma 90.00
_space_group_name_H-M_alt 'F -4 3 m'
_space_group_IT_number 216
_space_group_name_Hall 'F -4 2 3'
loop_
_atom_site_label
_atom_site_type_symbol
_atom_site_fract_x
_atom_site_fract_y
_atom_site_fract_z
Li1 Li 0.0000 0.0000 0.0000
Ac1 Ac 0.2500 0.2500 0.7500
Y1 Y 0.2500 0.2500 0.2500
Ir1 Ir 0.0000 0.0000 0.5000

---

3.
# SrBi2Rh | Alexandria via LeMat-Bulk | PBE-GGA | relaxed
# Formation energy: -0.048 eV per atom
# N(E_F): 9.61 states/eV/cell
data_SrBi2Rh
_chemical_formula_sum 'Sr3 Bi6 Rh3'
_cell_length_a 4.0992
_cell_length_b 4.0992
_cell_length_c 28.7699
_cell_angle_alpha 90.00
_cell_angle_beta 90.00
_cell_angle_gamma 120.00
_space_group_name_H-M_alt 'R -3 m'
_space_group_IT_number 166
_space_group_name_Hall '-R 3 2"'
loop_
_atom_site_label
_atom_site_type_symbol
_atom_site_fract_x
_atom_site_fract_y
_atom_site_fract_z
Sr1 Sr 0.0000 0.0000 0.0000
Bi1 Bi 0.0000 0.0000 0.1177
Rh1 Rh 0.0000 0.0000 0.5000

---

4.
# TbPr2DyBi4 | Alexandria via LeMat-Bulk | PBE-GGA | relaxed
# Formation energy: -0.912 eV per atom
# N(E_F): 1.22 states/eV/cell
data_TbPr2DyBi4
_chemical_formula_sum 'Tb1 Pr2 Dy1 Bi4'
_cell_length_a 7.8974
_cell_length_b 4.5679
_cell_length_c 7.9074
_cell_angle_alpha 90.00
_cell_angle_beta 109.49
_cell_angle_gamma 90.00
_space_group_name_H-M_alt 'P 1 2/m 1'
_space_group_IT_number 10
loop_
_space_group_symop_operation_xyz
'x,y,z'
'-x,-y,-z'
'-x,y,-z'
'x,-y,z'
loop_
_atom_site_label
_atom_site_type_symbol
_atom_site_fract_x
_atom_site_fract_y
_atom_site_fract_z
Tb1 Tb 0.0000 0.0000 0.0000
Pr1 Pr 0.5000 0.0000 0.5000
Pr2 Pr 0.5000 0.5000 0.0000
Dy1 Dy 0.0000 0.5000 0.5000
Bi1 Bi 0.2396 0.0000 0.7460
Bi2 Bi 0.2399 0.5000 0.2472

---

5.
# LiY2InO | Alexandria via LeMat-Bulk | PBE-GGA | relaxed
# Uncorrected formation energy: -1434 meV per atom
# N(E_F): 1.38 states/eV/cell
data_LiY2InO
_chemical_formula_sum 'Li1 Y2 In1 O1'
_cell_length_a 4.8101
_cell_length_b 4.8101
_cell_length_c 4.2749
_cell_angle_alpha 90.00
_cell_angle_beta 90.00
_cell_angle_gamma 90.00
_space_group_name_H-M_alt 'P 4/m m m'
_space_group_IT_number 123
_space_group_name_Hall '-P 4 2'
loop_
_atom_site_label
_atom_site_type_symbol
_atom_site_fract_x
_atom_site_fract_y
_atom_site_fract_z
Li1 Li 0.0000 0.0000 0.0000
Y1 Y 0.0000 0.5000 0.5000
In1 In 0.5000 0.5000 0.0000
O1 O 0.0000 0.0000 0.5000

---

6.
# VSnPt | Alexandria via LeMat-Bulk | PBE-GGA | relaxed
# Formation energy: -0.305 eV per atom
# N(E_F): 13.56 states/eV/cell
data_VSnPt
_chemical_formula_sum 'V4 Sn4 Pt4'
_cell_length_a 6.1650
_cell_length_b 6.1650
_cell_length_c 6.1650
_cell_angle_alpha 90.00
_cell_angle_beta 90.00
_cell_angle_gamma 90.00
_space_group_name_H-M_alt 'F -4 3 m'
_space_group_IT_number 216
_space_group_name_Hall 'F -4 2 3'
loop_
_atom_site_label
_atom_site_type_symbol
_atom_site_fract_x
_atom_site_fract_y
_atom_site_fract_z
V1 V 0.0000 0.0000 0.0000
Sn1 Sn 0.0000 0.0000 0.5000
Pt1 Pt 0.2500 0.2500 0.7500

---

7.
# Sr4HgTe | Alexandria via LeMat-Bulk | PBE-GGA | relaxed
# Uncorrected formation energy: 54 meV per atom
# N(E_F): 29.21 states/eV/cell
data_Sr4HgTe
_chemical_formula_sum 'Sr16 Hg4 Te4'
_cell_length_a 10.2279
_cell_length_b 10.2279
_cell_length_c 10.2279
_cell_angle_alpha 90.00
_cell_angle_beta 90.00
_cell_angle_gamma 90.00
_space_group_name_H-M_alt 'F -4 3 m'
_space_group_IT_number 216
_space_group_name_Hall 'F -4 2 3'
loop_
_atom_site_label
_atom_site_type_symbol
_atom_site_fract_x
_atom_site_fract_y
_atom_site_fract_z
Sr1 Sr 0.1246 0.1246 0.1246
Hg1 Hg 0.0000 0.0000 0.5000
Te1 Te 0.2500 0.2500 0.7500

---

8.
# Dy4Y3ErS8 | Alexandria via LeMat-Bulk | PBE-GGA | relaxed
# Uncorrected formation energy: -1985 meV per atom
# N(E_F): 27.87 states/eV/cell
data_Dy4Y3ErS8
_chemical_formula_sum 'Dy12 Y9 Er3 S24'
_cell_length_a 7.8118
_cell_length_b 7.8118
_cell_length_c 19.1344
_cell_angle_alpha 90.00
_cell_angle_beta 90.00
_cell_angle_gamma 120.00
_space_group_name_H-M_alt 'R -3 m'
_space_group_IT_number 166
_space_group_name_Hall '-R 3 2"'
loop_
_atom_site_label
_atom_site_type_symbol
_atom_site_fract_x
_atom_site_fract_y
_atom_site_fract_z
Dy1 Dy 0.0000 0.0000 0.0000
Dy2 Dy 0.0000 0.5000 0.0000
Y1 Y 0.0000 0.5000 0.5000
Er1 Er 0.0000 0.0000 0.5000
S1 S 0.0000 0.0000 0.2504
S2 S 0.0025 0.5012 0.2498

---

9.
# HgH2Br | Alexandria via LeMat-Bulk | PBE-GGA | relaxed
# N(E_F): 0.20 states/eV/cell
# E_tot: -2.08 eV per atom
data_HgH2Br
_chemical_formula_sum 'Hg1 H2 Br1'
_cell_length_a 3.8586
_cell_length_b 4.3613
_cell_length_c 6.0276
_cell_angle_alpha 81.16
_cell_angle_beta 85.56
_cell_angle_gamma 74.48
_space_group_name_H-M_alt 'P 1'
_space_group_IT_number 1
loop_
_space_group_symop_operation_xyz
'x,y,z'
loop_
_atom_site_label
_atom_site_type_symbol
_atom_site_fract_x
_atom_site_fract_y
_atom_site_fract_z
Hg1 Hg 0.0000 0.0000 0.0000
H1 H 0.4933 0.0067 0.9943
H2 H 0.7316 0.6991 0.3344
Br1 Br 0.5472 0.5063 0.4968

---

10.
# Sr3GePt2 | Alexandria via LeMat-Bulk | PBE-GGA | relaxed
# Formation energy: -0.742 eV per atom
# N(E_F): 9.80 states/eV/cell
data_Sr3GePt2
_chemical_formula_sum 'Sr12 Ge4 Pt8'
_cell_length_a 6.1464
_cell_length_b 11.9405
_cell_length_c 10.0509
_cell_angle_alpha 90.00
_cell_angle_beta 108.35
_cell_angle_gamma 90.00
_space_group_name_H-M_alt 'P 1 21/c 1'
_space_group_IT_number 14
loop_
_space_group_symop_operation_xyz
'x,y,z'
'-x,-y,-z'
'-x,y+1/2,-z+1/2'
'x,-y+1/2,z+1/2'
loop_
_atom_site_label
_atom_site_type_symbol
_atom_site_fract_x
_atom_site_fract_y
_atom_site_fract_z
Sr1 Sr 0.1696 0.2318 0.3281
Sr2 Sr 0.2254 0.5970 0.9834
Sr3 Sr 0.2975 0.5445 0.6076
Ge1 Ge 0.4012 0.6959 0.3290
Pt1 Pt 0.1741 0.5178 0.2756
Pt2 Pt 0.3462 0.1377 0.6294

---

11.
# SrReTcMo2 | Alexandria via LeMat-Bulk | PBE-GGA | relaxed
# Formation energy: 1.224 eV per atom
# N(E_F): 4.16 states/eV/cell
data_SrReTcMo2
_chemical_formula_sum 'Sr1 Re1 Tc1 Mo2'
_cell_length_a 4.8763
_cell_length_b 4.8763
_cell_length_c 4.8362
_cell_angle_alpha 90.00
_cell_angle_beta 90.00
_cell_angle_gamma 90.00
_space_group_name_H-M_alt 'P 4/m m m'
_space_group_IT_number 123
_space_group_name_Hall '-P 4 2'
loop_
_atom_site_label
_atom_site_type_symbol
_atom_site_fract_x
_atom_site_fract_y
_atom_site_fract_z
Sr1 Sr 0.0000 0.0000 0.0000
Re1 Re 0.5000 0.5000 0.5000
Tc1 Tc 0.5000 0.5000 0.0000
Mo1 Mo 0.0000 0.5000 0.5000